NiAg2Mo after structural relaxation. Source: the Alexandria database, functional GGA-PBE.

abc: 9.5891 2.7187 4.8089
angles: 90.00 99.14 90.00
Last column: nearest neighbours and their distance in Å.
Positions (direct):
Ni (0.0000, 0.0000, 0.0000)  2 Ni 2.72, 4 Mo 2.76, 6 Ag 2.81-2.87
Ni (0.5000, 0.5000, 0.0000)  2 Ni 2.72, 4 Mo 2.76, 6 Ag 2.81-2.87
Ag (0.2455, 0.5000, 0.2456)  6 Ag 2.72-2.79, 3 Ni 2.81-2.87, 3 Mo 2.82-2.89
Ag (0.2545, 0.0000, 0.7544)  6 Ag 2.72-2.79, 3 Ni 2.81-2.87, 3 Mo 2.82-2.89
Ag (0.7455, 0.0000, 0.2456)  6 Ag 2.72-2.79, 3 Ni 2.81-2.87, 3 Mo 2.82-2.89
Ag (0.7545, 0.5000, 0.7544)  6 Ag 2.72-2.79, 3 Ni 2.81-2.87, 3 Mo 2.82-2.89
Mo (0.0000, 0.5000, 0.5000)  2 Mo 2.72, 4 Ni 2.76, 6 Ag 2.82-2.89
Mo (0.5000, 0.0000, 0.5000)  2 Mo 2.72, 4 Ni 2.76, 6 Ag 2.82-2.89

Summary:
The formation energy from the elements is 44.2 kJ/mol of atoms. For the mass density, the calculation gives 9.94 g cm⁻³. As for the polymorph energy (0 for the lowest one): 256.3 meV/atom. Its total energy is -20.5 eV/f.u. The crystal system is monoclinic.